# 1
VASP calculation (GGA-PBE) on a relaxed Sm5Ga2Te crystal.

- density of states at the Fermi level (states/eV/atom) = 1.1085
- space group = I4/mcm
- E_form (uncorrected) (eV per formula unit) = -5.24

Structure (POSCAR):
```
Sm5Ga2Te
1.0
7.530 0.000 -3.555
-1.678 7.341 -3.555
-0.490 -0.615 8.715
Ga Sm Te
4 10 2
direct
0.146 0.354 0.000 Ga
0.854 0.646 0.000 Ga
0.646 0.146 0.000 Ga
0.354 0.854 0.000 Ga
0.000 0.000 0.000 Sm
0.298 0.798 0.286 Sm
0.512 0.702 0.714 Sm
0.488 0.298 0.286 Sm
0.012 0.512 0.714 Sm
0.988 0.488 0.286 Sm
0.798 0.988 0.286 Sm
0.500 0.500 0.000 Sm
0.702 0.202 0.714 Sm
0.202 0.012 0.714 Sm
0.250 0.250 0.500 Te
0.750 0.750 0.500 Te
```

# 2
VASP calculation (GGA-PBE) on a relaxed Sm3GaTe4 crystal.

- density of states at the Fermi level (states/eV/atom) = 0.5084
- space group = Pmn2_1
- E_form (uncorrected) (eV per formula unit) = -7.89

Structure (POSCAR):
```
Sm3GaTe4
1.0
6.241 0.000 0.000
0.000 9.446 0.000
0.000 0.000 10.361
Te Sm Ga
8 6 2
direct
0.064 0.849 0.500 Te
0.565 0.662 0.738 Te
0.065 0.836 0.000 Te
0.565 0.164 0.500 Te
0.564 0.151 0.000 Te
0.065 0.338 0.762 Te
0.565 0.662 0.262 Te
0.065 0.338 0.238 Te
0.565 0.336 0.252 Sm
0.065 0.664 0.248 Sm
0.065 0.664 0.752 Sm
0.065 0.183 0.500 Sm
0.565 0.336 0.748 Sm
0.565 0.817 0.000 Sm
0.064 0.159 0.000 Ga
0.564 0.841 0.500 Ga
```

# 3
VASP calculation (GGA-PBE) on a relaxed SmTl2GaTe4 crystal.

- density of states at the Fermi level (states/eV/atom) = 0.4779
- space group = Imma
- E_form (uncorrected) (eV per formula unit) = -4.58

Structure (POSCAR):
```
SmTl2GaTe4
1.0
9.148 -0.118 -0.070
-0.124 9.148 -0.070
-4.484 -4.487 6.455
Te Sm Tl Ga
8 2 4 2
direct
0.748 0.281 0.514 Te
0.758 0.743 0.968 Te
0.242 0.257 0.032 Te
0.757 0.742 0.532 Te
0.243 0.258 0.468 Te
0.781 0.248 0.014 Te
0.219 0.752 0.986 Te
0.252 0.719 0.486 Te
0.000 0.500 0.500 Sm
0.000 0.500 0.000 Sm
0.000 0.000 0.500 Tl
0.500 0.000 0.500 Tl
0.500 0.500 0.000 Tl
0.500 0.000 0.000 Tl
0.000 0.000 0.000 Ga
0.500 0.500 0.500 Ga
```

# 4
VASP calculation (GGA-PBE) on a relaxed Sm4TlGaTe2 crystal.

- density of states at the Fermi level (states/eV/atom) = 0.5762
- space group = P2/m
- E_form (uncorrected) (eV per formula unit) = -7.26

Structure (POSCAR):
```
Sm4TlGaTe2
1.0
4.253 0.000 0.000
0.000 7.360 0.126
0.000 -2.591 7.736
Te Ga Sm Tl
2 1 4 1
direct
0.500 0.000 0.500 Te
0.000 0.500 0.500 Te
0.500 0.500 0.000 Ga
0.000 0.260 0.757 Sm
0.500 0.257 0.249 Sm
0.000 0.740 0.243 Sm
0.500 0.743 0.751 Sm
0.000 0.000 0.000 Tl
```

# 5
VASP calculation (GGA-PBE) on a relaxed SmThGa crystal.

- energy of formation (meV per atom) = -253.8
- density of states at the Fermi level (states/eV/atom) = 1.0503
- energy relative to the lowest polymorph listed for this composition (kcal/mol of atoms) = 0.00
- space group = I4mm

Structure (POSCAR):
```
SmThGa
1.0
-2.488 -2.628 -0.294
-0.251 -0.166 3.618
-3.249 5.782 -1.781
Sm Th Ga
1 1 1
direct
0.021 0.021 0.042 Sm
0.314 0.314 0.628 Th
0.665 0.665 0.329 Ga
```

# 6
VASP calculation (GGA-PBE) on a relaxed Sm2ThGa crystal.

- energy of formation (meV per atom) = -192.5
- density of states at the Fermi level (states/eV/atom) = 1.4010
- energy relative to the lowest polymorph listed for this composition (kcal/mol of atoms) = 0.00
- space group = P4/mmm

Structure (POSCAR):
```
Sm2ThGa
1.0
4.797 0.000 0.000
0.000 4.823 0.000
0.000 0.000 4.823
Sm Ga Th
2 1 1
direct
0.000 0.500 0.000 Sm
0.000 0.000 0.500 Sm
0.500 0.500 0.500 Ga
0.500 0.000 0.000 Th
```

# 7
VASP calculation (GGA-PBE) on a relaxed SmThGa2 crystal.

- energy of formation (meV per atom) = -556.2
- density of states at the Fermi level (states/eV/atom) = 1.0129
- energy relative to the lowest polymorph listed for this composition (kcal/mol of atoms) = 0.08
- space group = Pmc2_1

Structure (POSCAR):
```
SmThGa2
1.0
-2.445 -3.071 -1.314
3.507 -0.739 -4.797
4.587 -5.444 4.192
Sm Th Ga
2 2 4
direct
0.000 0.132 0.679 Sm
0.000 0.868 0.179 Sm
0.500 0.366 0.321 Th
0.500 0.634 0.821 Th
0.500 0.122 0.965 Ga
0.000 0.379 0.036 Ga
0.000 0.621 0.536 Ga
0.500 0.878 0.465 Ga
```

# 8
VASP calculation (GGA-PBE) on a relaxed SmThGa2 crystal.

- energy of formation (meV per atom) = -316.0
- density of states at the Fermi level (states/eV/atom) = 1.0484
- energy relative to the lowest polymorph listed for this composition (kcal/mol of atoms) = 5.62
- space group = R-3m

Structure (POSCAR):
```
SmThGa2
1.0
-1.268 3.035 1.863
0.064 0.062 3.779
7.651 4.515 1.687
Ga Sm Th
2 1 1
direct
0.248 0.248 0.255 Ga
0.752 0.752 0.745 Ga
0.500 0.500 0.500 Sm
0.000 0.000 0.000 Th
```

# 9
VASP calculation (GGA-PBE) on a relaxed SmThGa4 crystal.

- energy of formation (meV per atom) = -660.6
- density of states at the Fermi level (states/eV/atom) = 0.3134
- energy relative to the lowest polymorph listed for this composition (kcal/mol of atoms) = 0.00
- space group = I-4m2

Structure (POSCAR):
```
SmThGa4
1.0
4.060 0.000 -1.254
-0.387 4.042 -1.254
0.239 0.263 7.976
Ga Sm Th
4 1 1
direct
0.418 0.418 0.835 Ga
0.833 0.333 0.667 Ga
0.582 0.582 0.165 Ga
0.667 0.167 0.333 Ga
0.000 0.000 0.000 Sm
0.250 0.750 0.500 Th
```

# 10
VASP calculation (GGA-PBE) on a relaxed SmThGa2 crystal.

- energy of formation (meV per atom) = -559.8
- density of states at the Fermi level (states/eV/atom) = 0.9825
- energy relative to the lowest polymorph listed for this composition (kcal/mol of atoms) = 0.00
- space group = Amm2

Structure (POSCAR):
```
SmThGa2
1.0
4.159 0.000 -1.515
0.000 4.127 0.000
-0.156 0.000 6.030
Ga Sm Th
2 1 1
direct
0.009 0.000 0.557 Ga
0.155 0.500 0.849 Ga
0.442 0.500 0.422 Sm
0.725 0.000 0.990 Th
```

# 11
VASP calculation (GGA-PBE) on a relaxed SmTh2Ga2 crystal.

- energy of formation (meV per atom) = -426.1
- density of states at the Fermi level (states/eV/atom) = 1.0635
- energy relative to the lowest polymorph listed for this composition (kcal/mol of atoms) = 0.00
- space group = P4/mbm

Structure (POSCAR):
```
SmTh2Ga2
1.0
4.397 0.000 0.000
0.000 7.869 0.000
0.000 0.000 7.869
Ga Th Sm
4 4 2
direct
0.000 0.381 0.881 Ga
0.000 0.881 0.619 Ga
0.000 0.119 0.381 Ga
0.000 0.619 0.119 Ga
0.500 0.174 0.674 Th
0.500 0.326 0.174 Th
0.500 0.826 0.326 Th
0.500 0.674 0.826 Th
0.000 0.500 0.500 Sm
0.000 0.000 0.000 Sm
```

# 12
VASP calculation (GGA-PBE) on a relaxed SmTh2Ga crystal.

- energy of formation (meV per atom) = -114.5
- density of states at the Fermi level (states/eV/atom) = 1.4779
- energy relative to the lowest polymorph listed for this composition (kcal/mol of atoms) = 1.37
- space group = P4/mmm

Structure (POSCAR):
```
SmTh2Ga
1.0
3.978 0.000 0.000
0.000 3.978 0.000
0.000 0.000 7.335
Ga Th Sm
1 2 1
direct
0.500 0.500 0.000 Ga
0.000 0.000 0.792 Th
0.000 0.000 0.208 Th
0.500 0.500 0.500 Sm
```

# 13
VASP calculation (GGA-PBE) on a relaxed SmThGa crystal.

- energy of formation (meV per atom) = -113.7
- density of states at the Fermi level (states/eV/atom) = 1.3774
- energy relative to the lowest polymorph listed for this composition (kcal/mol of atoms) = 3.23
- space group = P4/nmm

Structure (POSCAR):
```
SmThGa
1.0
4.146 0.000 0.000
0.000 4.146 0.000
0.000 0.000 10.164
Ga Th Sm
2 2 2
direct
0.500 0.000 0.385 Ga
0.000 0.500 0.615 Ga
0.500 0.000 0.092 Th
0.000 0.500 0.908 Th
0.000 0.500 0.318 Sm
0.500 0.000 0.682 Sm
```

# 14
VASP calculation (GGA-PBE) on a relaxed SmThGa2 crystal.

- energy of formation (meV per atom) = -458.1
- density of states at the Fermi level (states/eV/atom) = 0.7447
- energy relative to the lowest polymorph listed for this composition (kcal/mol of atoms) = 2.34
- space group = Fm-3m

Structure (POSCAR):
```
SmThGa2
1.0
5.203 0.000 0.000
2.602 4.506 0.000
2.602 1.502 4.249
Th Ga Sm
1 2 1
direct
0.000 0.000 0.000 Th
0.750 0.750 0.750 Ga
0.250 0.250 0.250 Ga
0.500 0.500 0.500 Sm
```

# 15
VASP calculation (GGA-PBE) on a relaxed Sm2ThGa4 crystal.

- energy of formation (meV per atom) = -634.6
- density of states at the Fermi level (states/eV/atom) = 0.6800
- space group = Immm

Structure (POSCAR):
```
Sm2ThGa4
1.0
4.082 0.000 -0.931
-0.225 4.225 -0.987
0.089 0.062 9.807
Th Ga Sm
1 4 2
direct
0.500 0.000 0.000 Th
0.356 0.356 0.712 Ga
0.644 0.644 0.288 Ga
0.066 0.566 0.133 Ga
0.934 0.434 0.867 Ga
0.184 0.184 0.368 Sm
0.816 0.816 0.632 Sm
```

# 16
VASP calculation (GGA-PBE) on a relaxed Sm3Th3Ga4 crystal.

- energy of formation (meV per atom) = -435.1
- density of states at the Fermi level (states/eV/atom) = 1.0432
- space group = Amm2

Structure (POSCAR):
```
Sm3Th3Ga4
1.0
-1.853 0.721 -3.830
-6.752 -3.039 2.695
-2.200 7.170 2.415
Sm Th Ga
3 3 4
direct
0.500 0.676 0.676 Sm
0.500 0.823 0.177 Sm
0.500 0.324 0.324 Sm
0.500 0.177 0.823 Th
0.000 0.499 0.000 Th
0.000 0.000 0.501 Th
0.000 0.882 0.883 Ga
0.000 0.117 0.118 Ga
0.000 0.618 0.382 Ga
0.000 0.384 0.616 Ga
```

# 17
VASP calculation (GGA-PBE) on a relaxed SmThGa crystal.

- energy of formation (meV per atom) = -112.6
- density of states at the Fermi level (states/eV/atom) = 0.9812
- energy relative to the lowest polymorph listed for this composition (kcal/mol of atoms) = 3.26
- space group = P3m1

Structure (POSCAR):
```
SmThGa
1.0
3.858 0.000 0.000
0.000 5.001 0.000
0.000 -2.501 4.331
Th Sm Ga
1 1 1
direct
0.043 0.000 0.000 Th
0.594 0.667 0.333 Sm
0.363 0.333 0.667 Ga
```

# 18
VASP calculation (GGA-PBE) on a relaxed SmThGa4 crystal.

- energy of formation (meV per atom) = -492.2
- density of states at the Fermi level (states/eV/atom) = 0.8022
- energy relative to the lowest polymorph listed for this composition (kcal/mol of atoms) = 3.88
- space group = F-43m

Structure (POSCAR):
```
SmThGa4
1.0
5.637 0.000 0.000
2.818 4.881 0.000
2.818 1.627 4.602
Sm Ga Th
1 4 1
direct
0.250 0.250 0.250 Sm
0.625 0.124 0.625 Ga
0.625 0.625 0.625 Ga
0.625 0.625 0.124 Ga
0.124 0.625 0.625 Ga
0.000 0.000 0.000 Th
```

# 19
VASP calculation (GGA-PBE) on a relaxed Sm2ThGa6 crystal.

- energy of formation (meV per atom) = -666.2
- density of states at the Fermi level (states/eV/atom) = 0.6543
- energy relative to the lowest polymorph listed for this composition (kcal/mol of atoms) = 0.00
- space group = P6/mmm

Structure (POSCAR):
```
Sm2ThGa6
1.0
-0.919 -0.218 -4.125
-2.698 -6.801 0.960
-4.435 5.858 0.678
Th Ga Sm
1 6 2
direct
0.000 0.000 0.000 Th
0.500 0.000 0.334 Ga
0.500 0.666 0.666 Ga
0.500 0.000 0.666 Ga
0.500 0.666 0.000 Ga
0.500 0.334 0.334 Ga
0.500 0.334 0.000 Ga
0.000 0.667 0.333 Sm
0.000 0.333 0.667 Sm
```

# 20
VASP calculation (GGA-PBE) on a relaxed Sm3ThGa3 crystal.

- energy of formation (meV per atom) = -374.2
- density of states at the Fermi level (states/eV/atom) = 0.9573
- space group = P6_3/m

Structure (POSCAR):
```
Sm3ThGa3
1.0
4.772 0.000 0.000
0.000 9.439 0.000
0.000 -4.720 8.174
Sm Ga Th
6 6 2
direct
0.250 0.738 0.976 Sm
0.750 0.262 0.024 Sm
0.250 0.238 0.262 Sm
0.750 0.762 0.738 Sm
0.250 0.024 0.762 Sm
0.750 0.976 0.238 Sm
0.250 0.394 0.937 Ga
0.750 0.457 0.394 Ga
0.250 0.063 0.457 Ga
0.750 0.606 0.063 Ga
0.750 0.937 0.543 Ga
0.250 0.543 0.606 Ga
0.750 0.333 0.667 Th
0.250 0.667 0.333 Th
```